Record 1
Compound: PBr
Source: Alexandria
Functional: GGA-PBE
Structure: optimized geometry

Geometry as POSCAR:
```
PBr
1.0
-3.512 0.364 -0.096
1.496 -2.055 2.453
1.683 20.491 16.137
P Br
6 6
Direct
0.000 0.000 0.311 P
0.000 0.000 0.689 P
0.333 0.667 0.645 P
0.333 0.667 0.978 P
0.667 0.333 0.022 P
0.667 0.333 0.355 P
0.000 0.000 0.098 Br
0.000 0.000 0.902 Br
0.333 0.667 0.431 Br
0.333 0.667 0.235 Br
0.667 0.333 0.765 Br
0.667 0.333 0.569 Br
```

* energy relative to the lowest polymorph listed for this composition: 283.6 meV/atom
* raw formation energy: 15 kJ/mol of atoms
* DOS(E_F): 6.5 states/eV per cell
* density: 3.9 g/cm³
* total moment: 0.00 μB per atom
* V: 23.54 Å³ per atom
* SG: P-3m1, No. 164


Record 2
Compound: In2PAu
Source: Alexandria
Functional: GGA-PBE
Structure: optimized geometry

Geometry as POSCAR:
```
In2PAu
1.0
-3.802 -0.041 1.179
-1.073 -1.537 -3.512
0.701 -5.237 2.079
Au In P
1 2 1
Direct
0.500 0.500 0.875 Au
0.000 0.000 0.875 In
0.500 0.500 0.375 In
0.000 0.000 0.375 P
```

* ΔH_f (0 K): -0.039 eV/atom
* DOS(E_F): 1.7 states/eV per cell
* density: 8.4 g/cm³
* total moment: 0.00 μB per atom
* V: 22.49 Å³ per atom
* SG: P4/mmm, No. 123


Record 3
Compound: Nd4HgRuAu2
Source: Alexandria
Functional: GGA-PBE
Structure: optimized geometry

Geometry as POSCAR:
```
Nd4HgRuAu2
1.0
-2.161 4.497 -1.686
-2.688 0.095 -4.528
-8.714 -0.315 2.103
Nd Hg Ru Au
4 1 1 2
Direct
0.384 0.384 0.847 Nd
0.867 0.867 0.398 Nd
0.133 0.133 0.602 Nd
0.616 0.616 0.153 Nd
0.000 0.000 0.000 Hg
0.500 0.500 0.500 Ru
0.741 0.741 0.776 Au
0.259 0.259 0.224 Au
```

* ΔH_f (0 K): -0.540 eV/atom
* DOS(E_F): 6.4 states/eV per cell
* density: 10.4 g/cm³
* total moment: 0.00 μB per atom
* V: 25.34 Å³ per atom
* SG: R-3m, No. 166


Record 4
Compound: BaLiDyS3
Source: Alexandria
Functional: GGA-PBE
Structure: optimized geometry

Geometry as POSCAR:
```
BaLiDyS3
1.0
4.090 0.000 0.000
0.000 8.559 0.474
0.000 -2.810 8.459
Ba Li Dy S
2 2 2 6
Direct
0.750 0.805 0.758 Ba
0.250 0.195 0.242 Ba
0.250 0.086 0.592 Li
0.750 0.914 0.408 Li
0.250 0.671 0.161 Dy
0.750 0.329 0.839 Dy
0.250 0.796 0.475 S
0.750 0.880 0.133 S
0.750 0.451 0.161 S
0.750 0.204 0.525 S
0.250 0.549 0.839 S
0.250 0.120 0.867 S
```

* raw formation energy: -186 kJ/mol of atoms
* DOS(E_F): 0.0 states/eV per cell
* density: 4.4 g/cm³
* total moment: 0.00 μB per atom
* V: 25.13 Å³ per atom
* SG: P2_1/m, No. 11


Record 5
Compound: CsSrCe2Cl8
Source: Alexandria
Functional: GGA-PBE
Structure: optimized geometry

Geometry as POSCAR:
```
CsSrCe2Cl8
1.0
-6.698 1.479 1.974
-2.526 -3.135 -5.640
-0.363 -7.708 4.450
Cs Sr Ce Cl
1 1 2 8
Direct
0.000 0.000 0.500 Cs
0.000 0.000 0.000 Sr
0.500 0.500 0.764 Ce
0.500 0.500 0.236 Ce
0.185 0.750 0.215 Cl
0.672 0.728 0.000 Cl
0.816 0.251 0.215 Cl
0.815 0.250 0.785 Cl
0.328 0.272 0.000 Cl
0.184 0.749 0.785 Cl
0.626 0.705 0.500 Cl
0.374 0.295 0.500 Cl
```

* raw formation energy: -207 kJ/mol of atoms
* DOS(E_F): 16.3 states/eV per cell
* density: 3.0 g/cm³
* total moment: 0.25 μB per atom
* V: 36.71 Å³ per atom
* SG: P-1, No. 2


Record 6
Compound: NdAl8Fe4
Source: Alexandria
Functional: GGA-PBE
Structure: optimized geometry

Geometry as POSCAR:
```
NdAl8Fe4
1.0
5.039 0.000 0.000
2.519 6.205 0.000
2.519 0.000 6.205
Nd Al Fe
1 8 4
Direct
0.000 0.000 0.000 Nd
0.000 0.343 0.657 Al
0.000 0.657 0.343 Al
0.343 0.657 0.657 Al
0.657 0.343 0.343 Al
0.500 0.776 0.224 Al
0.500 0.224 0.776 Al
0.276 0.224 0.224 Al
0.724 0.776 0.776 Al
0.000 0.000 0.500 Fe
0.500 0.000 0.500 Fe
0.000 0.500 0.000 Fe
0.500 0.500 0.000 Fe
```

* ΔH_f (0 K): -0.404 eV/atom
* DOS(E_F): 8.6 states/eV per cell
* density: 5.0 g/cm³
* total moment: 0.44 μB per atom
* V: 14.92 Å³ per atom
* SG: I4/mmm, No. 139